# K2NaZnP2, optimized geometry, DFT PBE-GGA
data_K2NaZnP2
_chemical_formula_sum 'K4 Na2 Zn2 P4'
_cell_length_a 8.679
_cell_length_b 8.679
_cell_length_c 8.679
_cell_angle_alpha 134.97
_cell_angle_beta 64.02
_cell_angle_gamma 137.00
_symmetry_space_group_name_H-M 'P 1'
_symmetry_Int_Tables_number 1
loop_
_symmetry_equiv_pos_as_xyz
'x,y,z'
loop_
_atom_site_label
_atom_site_type_symbol
_atom_site_fract_x
_atom_site_fract_y
_atom_site_fract_z
K1 K 0.173 0.249 0.423
K2 K 0.327 0.749 0.076
K3 K 0.673 0.251 0.924
K4 K 0.827 0.751 0.577
Na1 Na 0.250 0.250 0.000
Na2 Na 0.750 0.750 0.000
Zn1 Zn 0.250 0.750 0.500
Zn2 Zn 0.750 0.250 0.500
P1 P 0.093 0.704 0.797
P2 P 0.407 0.204 0.611
P3 P 0.593 0.796 0.389
P4 P 0.907 0.296 0.203
# Space group ... Ibam (72)
# Crystal system ... orthorhombic
# ΔH_f (0 K) ... -0.2987 eV per atom

---

# KNaZrP2, optimized geometry, DFT PBE-GGA
data_KNaZrP2
_chemical_formula_sum 'K1 Na1 Zr1 P2'
_cell_length_a 5.286
_cell_length_b 5.286
_cell_length_c 4.339
_cell_angle_alpha 90.00
_cell_angle_beta 90.00
_cell_angle_gamma 90.00
_symmetry_space_group_name_H-M 'P 1'
_symmetry_Int_Tables_number 1
loop_
_symmetry_equiv_pos_as_xyz
'x,y,z'
loop_
_atom_site_label
_atom_site_type_symbol
_atom_site_fract_x
_atom_site_fract_y
_atom_site_fract_z
K1 K 0.000 0.000 0.000
Na1 Na 0.000 0.000 0.500
Zr1 Zr 0.500 0.500 0.500
P1 P 0.000 0.500 0.000
P2 P 0.500 0.000 0.000
# Space group ... P4/mmm (123)
# Crystal system ... tetragonal
# ΔH_f (0 K) ... 1.0749 eV per atom

---

# KNaPa2S5, optimized geometry, DFT PBE-GGA
data_KNaPa2S5
_chemical_formula_sum 'K2 Na2 Pa4 S10'
_cell_length_a 9.339
_cell_length_b 9.339
_cell_length_c 9.339
_cell_angle_alpha 131.73
_cell_angle_beta 131.73
_cell_angle_gamma 70.65
_symmetry_space_group_name_H-M 'P 1'
_symmetry_Int_Tables_number 1
loop_
_symmetry_equiv_pos_as_xyz
'x,y,z'
loop_
_atom_site_label
_atom_site_type_symbol
_atom_site_fract_x
_atom_site_fract_y
_atom_site_fract_z
K1 K 0.250 0.250 0.000
K2 K 0.750 0.750 0.000
Na1 Na 0.250 0.750 0.500
Na2 Na 0.750 0.250 0.500
Pa1 Pa 0.161 0.661 0.821
Pa2 Pa 0.339 0.161 0.500
Pa3 Pa 0.661 0.839 0.500
Pa4 Pa 0.839 0.339 0.179
S1 S 0.000 0.000 0.000
S2 S 0.035 0.239 0.500
S3 S 0.239 0.739 0.205
S4 S 0.261 0.465 0.500
S5 S 0.465 0.965 0.205
S6 S 0.500 0.500 0.000
S7 S 0.535 0.035 0.795
S8 S 0.739 0.535 0.500
S9 S 0.761 0.261 0.795
S10 S 0.965 0.761 0.500
# ΔE_f (raw) ... -1517.0 meV/atom
# Space group ... I4/mcm (140)
# Crystal system ... tetragonal

---

# K4NaPa3S8, optimized geometry, DFT PBE-GGA
data_K4NaPa3S8
_chemical_formula_sum 'K4 Na1 Pa3 S8'
_cell_length_a 8.768
_cell_length_b 8.768
_cell_length_c 8.768
_cell_angle_alpha 55.71
_cell_angle_beta 55.71
_cell_angle_gamma 55.71
_symmetry_space_group_name_H-M 'P 1'
_symmetry_Int_Tables_number 1
loop_
_symmetry_equiv_pos_as_xyz
'x,y,z'
loop_
_atom_site_label
_atom_site_type_symbol
_atom_site_fract_x
_atom_site_fract_y
_atom_site_fract_z
K1 K 0.000 0.000 0.000
K2 K 0.000 0.500 0.500
K3 K 0.500 0.000 0.500
K4 K 0.500 0.500 0.000
Na1 Na 0.500 0.500 0.500
Pa1 Pa 0.000 0.000 0.500
Pa2 Pa 0.000 0.500 0.000
Pa3 Pa 0.500 0.000 0.000
S1 S 0.217 0.743 0.743
S2 S 0.234 0.234 0.234
S3 S 0.257 0.257 0.783
S4 S 0.257 0.783 0.257
S5 S 0.743 0.217 0.743
S6 S 0.743 0.743 0.217
S7 S 0.766 0.766 0.766
S8 S 0.783 0.257 0.257
# ΔE_f (raw) ... -1494.3 meV/atom
# Space group ... R-3m (166)
# Crystal system ... trigonal

---

no.,total magnetization (μB/atom),DOS at the Fermi energy (states/eV per cell)
1,0.103,9.61
2,0.000,3.97
3,0.220,8.02
4,0.251,16.37